[1]
Na5TlIn6 | PBE-GGA | relaxed

a b c (Å): 10.947 13.945 4.683
angles (deg): 90.00 115.01 90.00
Space group C2/m (No. 12)
Asymmetric unit:
Na1 0.000 0.000 0.000 (multiplicity 2)
Na2 0.000 0.167 0.500 (multiplicity 4)
Na3 0.000 0.338 0.000 (multiplicity 4)
Tl1 0.000 0.500 0.500 (multiplicity 2)
In1 0.248 0.168 0.247 (multiplicity 8)
In2 0.249 0.000 0.749 (multiplicity 4)

Computed properties:
- DOS(E_F) (states/eV per atom) = 0.42
- E (eV/cell) = -52.93
- total magnetization (μB per formula unit) = 0.0
- crystal system = monoclinic

=====

[2]
Na3Tl3In | PBE-GGA | relaxed

a b c (Å): 13.336 5.013 12.433
angles (deg): 90.00 90.00 90.00
Space group Pnma (No. 62)
Asymmetric unit:
Na1 0.036 0.250 0.175 (multiplicity 4)
Na2 0.183 0.750 0.488 (multiplicity 4)
Na3 0.225 0.750 0.787 (multiplicity 4)
Tl1 0.046 0.250 0.421 (multiplicity 4)
Tl2 0.082 0.250 0.925 (multiplicity 4)
Tl3 0.177 0.750 0.077 (multiplicity 4)
In1 0.088 0.250 0.671 (multiplicity 4)

Computed properties:
- DOS(E_F) (states/eV per atom) = 0.41
- E (eV/cell) = -57.22
- total magnetization (μB per formula unit) = 0.0
- energy above the lowest structure with this stoichiometry (meV per atom) = 0
- crystal system = orthorhombic

=====

[3]
NaTl12In6 | PBE-GGA | relaxed

a b c (Å): 14.4675 14.4675 10.0124
angles (deg): 90.00 90.00 120.00
Space group R-3m (No. 166, hexagonal axes)
Asymmetric unit:
Na1 0.0000 0.0000 0.0000 (multiplicity 3)
Tl1 0.0000 0.3853 0.5000 (multiplicity 18)
Tl2 0.0808 0.1616 0.2590 (multiplicity 18)
In1 0.0801 0.5401 0.2228 (multiplicity 18)

Computed properties:
- DOS(E_F) (states/eV per atom) = 0.47
- E (eV/cell) = -134.89
- total magnetization (μB per formula unit) = 0.0
- energy above the lowest structure with this stoichiometry (meV per atom) = 26
- crystal system = trigonal

=====

[4]
NaTl3In | PBE-GGA | relaxed

a b c (Å): 6.374 13.621 7.385
angles (deg): 90.00 90.00 90.00
Space group Pnma (No. 62)
Asymmetric unit:
Na1 0.000 0.000 0.000 (multiplicity 4)
Tl1 0.001 0.112 0.444 (multiplicity 8)
Tl2 0.216 0.250 0.788 (multiplicity 4)
In1 0.096 0.750 0.880 (multiplicity 4)

Computed properties:
- DOS(E_F) (states/eV per atom) = 0.51
- E (eV/cell) = -44.50
- total magnetization (μB per formula unit) = 0.0
- energy above the lowest structure with this stoichiometry (meV per atom) = 60
- crystal system = orthorhombic

=====

[5]
NaTl4In12 | PBE-GGA | relaxed

a b c (Å): 14.6082 14.6082 8.9315
angles (deg): 90.00 90.00 120.00
Space group R-3 (No. 148, hexagonal axes)
Asymmetric unit:
Na1 0.0000 0.0000 0.0000 (multiplicity 3)
Tl1 0.0000 0.0000 0.5000 (multiplicity 3)
Tl2 0.0000 0.5000 0.5000 (multiplicity 9)
In1 0.0211 0.8330 0.3341 (multiplicity 18)
In2 0.0480 0.4509 0.8064 (multiplicity 18)

Computed properties:
- DOS(E_F) (states/eV per atom) = 0.73
- E (eV/cell) = -121.18
- total magnetization (μB per formula unit) = 0.0
- crystal system = trigonal

=====

[6]
Na4Tl4In3 | PBE-GGA | relaxed

a b c (Å): 3.446 4.876 18.664
angles (deg): 82.73 88.92 89.96
Space group P-1 (No. 2)
Asymmetric unit:
Na1 0.206 0.091 0.319 (multiplicity 2)
Na2 0.265 0.275 0.949 (multiplicity 2)
Tl1 0.217 0.183 0.137 (multiplicity 2)
Tl2 0.332 0.454 0.590 (multiplicity 2)
In1 0.000 0.000 0.500 (multiplicity 1)
In2 0.285 0.363 0.773 (multiplicity 2)

Computed properties:
- DOS(E_F) (states/eV per atom) = 0.40
- E (eV/cell) = -23.74
- total magnetization (μB per formula unit) = 0.0
- energy above the lowest structure with this stoichiometry (meV per atom) = 0
- crystal system = triclinic